{"formula": "GdY2Al3AgPt2", "functional": "PBE", "state": "optimized geometry", "m_tot_mub_per_fu": 0.00, "lattice": [[3.926, 0.000, 0.000], [0.000, 6.383, 3.687], [0.000, -6.383, 3.687]], "species": ["Gd", "Y", "Y", "Al", "Al", "Al", "Ag", "Pt", "Pt"], "fractional_positions": [[0.000, 0.000, 0.000], [0.000, 0.170, 0.585], [0.000, 0.585, 0.170], [0.500, 0.328, 0.328], [0.500, 0.583, 0.842], [0.500, 0.842, 0.583], [0.000, 0.584, 0.584], [0.500, 0.251, 0.918], [0.500, 0.918, 0.251]]}

=====

{"formula": "TaPPbO", "functional": "PBE", "state": "optimized geometry", "m_tot_mub_per_fu": 0.01, "polymorph_energy_mev_per_atom": 324.3, "lattice": [[4.133, 0.000, 0.000], [0.000, 4.133, 0.000], [0.000, 0.000, 10.050]], "species": ["Ta", "Ta", "P", "P", "Pb", "Pb", "O", "O"], "fractional_positions": [[0.250, 0.750, 0.000], [0.750, 0.250, 0.000], [0.250, 0.250, 0.138], [0.750, 0.750, 0.862], [0.250, 0.250, 0.614], [0.750, 0.750, 0.386], [0.250, 0.750, 0.500], [0.750, 0.250, 0.500]]}

=====

Number 1: raw total energy -0.211 hartree per atom. Number 2: raw total energy -0.260 hartree per atom.